Computed, not measured: a relaxed Ba2In6PdAu crystal at the GGA-PBE level of DFT.

Summary:
The calculation puts the density at 6779 kg/m³. The calculation puts the calculated volume at 310.3 Å³ per cell. As for the density of states at the Fermi level: 7.34 states/eV per cell. For the calculated formation energy, the calculation gives -257 meV per atom. Its crystal system is cubic. Its total magnetization is 0.00 μB/atom.

Geometry as POSCAR:
```
Ba2In6PdAu
1.0
0.000 5.374 5.374
5.374 0.000 5.374
5.374 5.374 0.000
Ba In Pd Au
2 6 1 1
direct
0.250 0.250 0.250
0.750 0.750 0.750
0.246 0.246 0.754
0.246 0.754 0.246
0.246 0.754 0.754
0.754 0.246 0.246
0.754 0.246 0.754
0.754 0.754 0.246
0.000 0.000 0.000
0.500 0.500 0.500
```


Computed, not measured: a relaxed BaPmInAu crystal at the GGA-PBE level of DFT.

Summary:
The calculation puts the density at 7928 kg/m³. The calculation puts the calculated volume at 124.4 Å³ per cell. As for the density of states at the Fermi level: 3.10 states/eV per cell. For the calculated formation energy, the calculation gives -427 meV per atom. Its crystal system is cubic. Its total magnetization is 0.00 μB/atom.

Geometry as POSCAR:
```
BaPmInAu
1.0
0.000 3.963 3.963
3.963 0.000 3.963
3.963 3.963 0.000
Ba Pm In Au
1 1 1 1
direct
0.000 0.000 0.000
0.500 0.500 0.500
0.250 0.250 0.250
0.750 0.750 0.750
```


Computed, not measured: a relaxed Ba2PmInAu6 crystal at the GGA-PBE level of DFT.

Summary:
The calculation puts the density at 8490 kg/m³. The calculation puts the calculated volume at 335.7 Å³ per cell. As for the density of states at the Fermi level: 4.55 states/eV per cell. For the calculated formation energy, the calculation gives -327 meV per atom. Its crystal system is cubic. Its total magnetization is 0.00 μB/atom.

Geometry as POSCAR:
```
Ba2PmInAu6
1.0
0.000 5.516 5.516
5.516 0.000 5.516
5.516 5.516 0.000
Ba Pm In Au
2 1 1 6
direct
0.250 0.250 0.250
0.750 0.750 0.750
0.000 0.000 0.000
0.500 0.500 0.500
0.256 0.256 0.744
0.256 0.744 0.256
0.256 0.744 0.744
0.744 0.256 0.256
0.744 0.256 0.744
0.744 0.744 0.256
```


Computed, not measured: a relaxed BaPrInAu crystal at the GGA-PBE level of DFT.

Summary:
The calculation puts the density at 7718 kg/m³. The calculation puts the calculated volume at 127.0 Å³ per cell. As for the density of states at the Fermi level: 3.12 states/eV per cell. For the calculated formation energy, the calculation gives -440 meV per atom. Its crystal system is cubic. Its total magnetization is 0.00 μB/atom.

Geometry as POSCAR:
```
BaPrInAu
1.0
0.000 3.989 3.989
3.989 0.000 3.989
3.989 3.989 0.000
Ba Pr In Au
1 1 1 1
direct
0.000 0.000 0.000
0.500 0.500 0.500
0.750 0.750 0.750
0.250 0.250 0.250
```